(1)
# LiYRu, relaxed, DFT PBE
data_LiYRu
_cell_length_a 9.330
_cell_length_b 4.596
_cell_length_c 7.005
_cell_angle_alpha 90.00
_cell_angle_beta 131.43
_cell_angle_gamma 90.00
_symmetry_space_group_name_H-M 'C 1 2/m 1'
_symmetry_Int_Tables_number 12
_symmetry_space_group_name_Hall '-C 2y'
loop_
_atom_site_label
_atom_site_type_symbol
_atom_site_fract_x
_atom_site_fract_y
_atom_site_fract_z
Li1 Li 0.052 0.000 0.379
Y1 Y 0.246 0.500 0.798
Ru1 Ru 0.086 0.500 0.232
# ρ: 5.81 Mg/m³
# Energy of formation from the pure elements: -18 kJ/mol of formula units
# Excess energy over the best structure of this formula in the dataset: 0.000 eV/atom

(2)
# LiY3Ru, relaxed, DFT PBE
data_LiY3Ru
_cell_length_a 5.400
_cell_length_b 5.400
_cell_length_c 5.400
_cell_angle_alpha 90.00
_cell_angle_beta 90.00
_cell_angle_gamma 90.00
_symmetry_space_group_name_H-M 'P m -3 m'
_symmetry_Int_Tables_number 221
_symmetry_space_group_name_Hall '-P 4 2 3'
loop_
_atom_site_label
_atom_site_type_symbol
_atom_site_fract_x
_atom_site_fract_y
_atom_site_fract_z
Li1 Li 0.000 0.000 0.000
Y1 Y 0.000 0.500 0.500
Ru1 Ru 0.500 0.500 0.500
# ρ: 3.95 Mg/m³
# Energy of formation from the pure elements: -22 kJ/mol of formula units
# Excess energy over the best structure of this formula in the dataset: 0.000 eV/atom

(3)
# LiYRu, relaxed, DFT PBE
data_LiYRu
_cell_length_a 6.330
_cell_length_b 6.330
_cell_length_c 6.330
_cell_angle_alpha 90.00
_cell_angle_beta 90.00
_cell_angle_gamma 90.00
_symmetry_space_group_name_H-M 'F -4 3 m'
_symmetry_Int_Tables_number 216
_symmetry_space_group_name_Hall 'F -4 2 3'
loop_
_atom_site_label
_atom_site_type_symbol
_atom_site_fract_x
_atom_site_fract_y
_atom_site_fract_z
Li1 Li 0.000 0.000 0.000
Y1 Y 0.000 0.000 0.500
Ru1 Ru 0.250 0.250 0.250
# ρ: 5.16 Mg/m³
# Energy of formation from the pure elements: 76 kJ/mol of formula units
# Excess energy over the best structure of this formula in the dataset: 0.323 eV/atom

(4)
# LiYRu, relaxed, DFT PBE
data_LiYRu
_cell_length_a 4.3252
_cell_length_b 4.3252
_cell_length_c 3.4205
_cell_angle_alpha 90.00
_cell_angle_beta 90.00
_cell_angle_gamma 120.00
_symmetry_space_group_name_H-M 'P 3 m 1'
_symmetry_Int_Tables_number 156
_symmetry_space_group_name_Hall 'P 3 -2"'
loop_
_atom_site_label
_atom_site_type_symbol
_atom_site_fract_x
_atom_site_fract_y
_atom_site_fract_z
Li1 Li 0.0000 0.0000 0.0000
Y1 Y 0.3333 0.6667 0.5033
Ru1 Ru 0.6667 0.3333 0.0063
# ρ: 5.90 Mg/m³
# Energy of formation from the pure elements: 7 kJ/mol of formula units
# Excess energy over the best structure of this formula in the dataset: 0.085 eV/atom

(5)
# LiY4Ru, relaxed, DFT PBE
data_LiY4Ru
_cell_length_a 9.954
_cell_length_b 9.954
_cell_length_c 7.378
_cell_angle_alpha 90.00
_cell_angle_beta 90.00
_cell_angle_gamma 90.00
_symmetry_space_group_name_H-M 'I 41 m d'
_symmetry_Int_Tables_number 109
_symmetry_space_group_name_Hall 'I 4bw -2'
loop_
_atom_site_label
_atom_site_type_symbol
_atom_site_fract_x
_atom_site_fract_y
_atom_site_fract_z
Li1 Li 0.000 0.000 0.000
Y1 Y 0.000 0.192 0.333
Y2 Y 0.000 0.237 0.819
Ru1 Ru 0.000 0.000 0.602
# ρ: 4.21 Mg/m³
# Energy of formation from the pure elements: 60 kJ/mol of formula units
# Excess energy over the best structure of this formula in the dataset: 0.000 eV/atom

(6)
# LiYZrRu, relaxed, DFT PBE
data_LiYZrRu
_cell_length_a 6.775
_cell_length_b 6.775
_cell_length_c 6.775
_cell_angle_alpha 90.00
_cell_angle_beta 90.00
_cell_angle_gamma 90.00
_symmetry_space_group_name_H-M 'F -4 3 m'
_symmetry_Int_Tables_number 216
_symmetry_space_group_name_Hall 'F -4 2 3'
loop_
_atom_site_label
_atom_site_type_symbol
_atom_site_fract_x
_atom_site_fract_y
_atom_site_fract_z
Li1 Li 0.000 0.000 0.000
Y1 Y 0.250 0.250 0.250
Zr1 Zr 0.250 0.250 0.750
Ru1 Ru 0.000 0.000 0.500
# ρ: 6.15 Mg/m³
# Energy of formation from the pure elements: -92 kJ/mol of formula units

(7)
# LiZn2Ru, relaxed, DFT PBE
data_LiZn2Ru
_cell_length_a 2.976
_cell_length_b 4.261
_cell_length_c 8.673
_cell_angle_alpha 90.00
_cell_angle_beta 90.00
_cell_angle_gamma 90.00
_symmetry_space_group_name_H-M 'I m m 2'
_symmetry_Int_Tables_number 44
_symmetry_space_group_name_Hall 'I 2 -2'
loop_
_atom_site_label
_atom_site_type_symbol
_atom_site_fract_x
_atom_site_fract_y
_atom_site_fract_z
Li1 Li 0.000 0.000 0.000
Zn1 Zn 0.000 0.000 0.508
Zn2 Zn 0.000 0.500 0.253
Ru1 Ru 0.000 0.500 0.760
# ρ: 7.21 Mg/m³
# Energy of formation from the pure elements: -22 kJ/mol of formula units

(8)
# Li4Zn5Ru2, relaxed, DFT PBE
data_Li4Zn5Ru2
_cell_length_a 8.848
_cell_length_b 5.317
_cell_length_c 6.813
_cell_angle_alpha 90.00
_cell_angle_beta 94.04
_cell_angle_gamma 90.00
_symmetry_space_group_name_H-M 'C 1 2/m 1'
_symmetry_Int_Tables_number 12
_symmetry_space_group_name_Hall '-C 2y'
loop_
_atom_site_label
_atom_site_type_symbol
_atom_site_fract_x
_atom_site_fract_y
_atom_site_fract_z
Li1 Li 0.131 0.000 0.363
Li2 Li 0.182 0.000 0.013
Zn1 Zn 0.000 0.500 0.000
Zn2 Zn 0.117 0.255 0.684
Ru1 Ru 0.140 0.500 0.345
# ρ: 5.79 Mg/m³
# Energy of formation from the pure elements: -134 kJ/mol of formula units

(9)
# Li2Zn7Ru2, relaxed, DFT PBE
data_Li2Zn7Ru2
_cell_length_a 11.146
_cell_length_b 8.221
_cell_length_c 3.791
_cell_angle_alpha 90.00
_cell_angle_beta 109.88
_cell_angle_gamma 90.00
_symmetry_space_group_name_H-M 'C 1 2/m 1'
_symmetry_Int_Tables_number 12
_symmetry_space_group_name_Hall '-C 2y'
loop_
_atom_site_label
_atom_site_type_symbol
_atom_site_fract_x
_atom_site_fract_y
_atom_site_fract_z
Li1 Li 0.176 0.000 0.176
Zn1 Zn 0.000 0.000 0.500
Zn2 Zn 0.125 0.500 0.123
Zn3 Zn 0.167 0.245 0.667
Ru1 Ru 0.000 0.229 0.000
# ρ: 6.85 Mg/m³
# Energy of formation from the pure elements: -34 kJ/mol of formula units
# Excess energy over the best structure of this formula in the dataset: 0.078 eV/atom

(10)
# LiZnRu4, relaxed, DFT PBE
data_LiZnRu4
_cell_length_a 7.204
_cell_length_b 7.204
_cell_length_c 7.204
_cell_angle_alpha 90.00
_cell_angle_beta 90.00
_cell_angle_gamma 90.00
_symmetry_space_group_name_H-M 'F -4 3 m'
_symmetry_Int_Tables_number 216
_symmetry_space_group_name_Hall 'F -4 2 3'
loop_
_atom_site_label
_atom_site_type_symbol
_atom_site_fract_x
_atom_site_fract_y
_atom_site_fract_z
Li1 Li 0.000 0.000 0.000
Zn1 Zn 0.250 0.250 0.250
Ru1 Ru 0.125 0.125 0.625
# ρ: 8.47 Mg/m³
# Energy of formation from the pure elements: 268 kJ/mol of formula units

(11)
# LiZn2Ru, relaxed, DFT PBE
data_LiZn2Ru
_cell_length_a 2.603
_cell_length_b 4.089
_cell_length_c 5.264
_cell_angle_alpha 90.00
_cell_angle_beta 90.00
_cell_angle_gamma 90.00
_symmetry_space_group_name_H-M 'P m m 2'
_symmetry_Int_Tables_number 25
_symmetry_space_group_name_Hall 'P 2 -2'
loop_
_atom_site_label
_atom_site_type_symbol
_atom_site_fract_x
_atom_site_fract_y
_atom_site_fract_z
Li1 Li 0.000 0.000 0.000
Zn1 Zn 0.000 0.000 0.477
Zn2 Zn 0.500 0.500 0.760
Ru1 Ru 0.500 0.500 0.256
# ρ: 7.08 Mg/m³
# Energy of formation from the pure elements: -3 kJ/mol of formula units

(12)
# LiZn4Ru, relaxed, DFT PBE
data_LiZn4Ru
_cell_length_a 4.062
_cell_length_b 10.120
_cell_length_c 4.107
_cell_angle_alpha 90.00
_cell_angle_beta 90.00
_cell_angle_gamma 90.00
_symmetry_space_group_name_H-M 'C m m m'
_symmetry_Int_Tables_number 65
_symmetry_space_group_name_Hall '-C 2 2'
loop_
_atom_site_label
_atom_site_type_symbol
_atom_site_fract_x
_atom_site_fract_y
_atom_site_fract_z
Li1 Li 0.000 0.000 0.000
Zn1 Zn 0.000 0.166 0.500
Zn2 Zn 0.000 0.344 0.000
Ru1 Ru 0.000 0.500 0.500
# ρ: 7.27 Mg/m³
# Energy of formation from the pure elements: -64 kJ/mol of formula units
# Excess energy over the best structure of this formula in the dataset: 0.000 eV/atom

(13)
# Li3Zn4Ru, relaxed, DFT PBE
data_Li3Zn4Ru
_cell_length_a 8.615
_cell_length_b 6.139
_cell_length_c 4.308
_cell_angle_alpha 90.00
_cell_angle_beta 90.00
_cell_angle_gamma 90.00
_symmetry_space_group_name_H-M 'P m m a'
_symmetry_Int_Tables_number 51
_symmetry_space_group_name_Hall '-P 2a 2a'
loop_
_atom_site_label
_atom_site_type_symbol
_atom_site_fract_x
_atom_site_fract_y
_atom_site_fract_z
Li1 Li 0.000 0.000 0.000
Li2 Li 0.250 0.000 0.499
Li3 Li 0.250 0.500 0.499
Zn1 Zn 0.000 0.262 0.500
Zn2 Zn 0.250 0.262 0.999
Ru1 Ru 0.000 0.500 0.000
# ρ: 5.59 Mg/m³
# Energy of formation from the pure elements: -123 kJ/mol of formula units

| no. | magnetization (μB/atom) |
| --- | --- |
| 1 | 0.0000 |
| 2 | 0.0000 |
| 3 | 0.0000 |
| 4 | 0.0000 |
| 5 | 0.0000 |
| 6 | 0.0000 |
| 7 | 0.1027 |
| 8 | 0.0000 |
| 9 | 0.0000 |
| 10 | 0.3503 |
| 11 | 0.0000 |
| 12 | 0.0000 |
| 13 | 0.0000 |